[1]
VASP calculation (PBE) on a relaxed TiNb2ZnOs crystal.

a b c (Å): 4.6753 4.6753 4.3885
angles (deg): 90.00 90.00 90.00
With the nearest neighbours (Å) after each atom.
Element x y z (fractional)
Ti: 0.0000 0.0000 0.0000  2 Zn 2.19
Nb: 0.0000 0.5000 0.5000  2 Zn 2.34
Nb: 0.5000 0.0000 0.5000  2 Zn 2.34
Zn: 0.0000 0.0000 0.5000  2 Ti 2.19, 4 Nb 2.34
Os: 0.5000 0.5000 0.0000  8 Nb 3.21, 4 Ti 3.31

Values from the calculation:
formation energy from the elements	1.347	eV/atom



[2]
VASP calculation (PBE) on a relaxed NpV4 crystal.

a b c (Å): 4.4644 4.4644 4.4644
angles (deg): 90.00 90.00 90.00
With the nearest neighbours (Å) after each atom.
Element x y z (fractional)
Np: 0.0000 0.0000 0.0000  6 V 2.23
V: 0.0000 0.0000 0.5000  2 Np 2.23
V: 0.0000 0.5000 0.0000  2 Np 2.23
V: 0.5000 0.0000 0.0000  2 Np 2.23
V: 0.5000 0.5000 0.5000  12 V 3.16

Values from the calculation:
formation energy from the elements	1.046	eV/atom



[3]
VASP calculation (PBE) on a relaxed GaFePt14 crystal.

a b c (Å): 9.2033 5.5697 5.5697
angles (deg): 60.32 90.00 90.00
With the nearest neighbours (Å) after each atom.
Element x y z (fractional)
Ga: 0.0000 0.0000 0.0000  10 Pt 2.67-2.85, 2 Fe 2.80
Fe: 0.0000 0.4944 0.4944  10 Pt 2.69-2.88, 2 Ga 2.80
Pt: 0.0000 0.0046 0.5072  2 Fe 2.69-2.88, 2 Ga 2.73-2.84, 8 Pt 2.75-2.81
Pt: 0.0000 0.5072 0.0046  2 Fe 2.69-2.88, 2 Ga 2.73-2.84, 8 Pt 2.75-2.81
Pt: 0.2353 0.3228 0.8229  1 Ga 2.67, 1 Fe 2.69, 10 Pt 2.76-2.95
Pt: 0.2353 0.8229 0.3228  1 Ga 2.67, 1 Fe 2.69, 10 Pt 2.76-2.95
Pt: 0.2459 0.3265 0.3265  11 Pt 2.75-2.90, 1 Fe 2.78
Pt: 0.2496 0.8241 0.8241  11 Pt 2.76-2.86, 1 Ga 2.85
Pt: 0.5000 0.1489 0.1489  12 Pt 2.78-2.90
Pt: 0.5000 0.1493 0.6497  12 Pt 2.77-2.95
Pt: 0.5000 0.6475 0.6475  12 Pt 2.77-2.90
Pt: 0.5000 0.6497 0.1493  12 Pt 2.77-2.95
Pt: 0.7504 0.8241 0.8241  11 Pt 2.76-2.86, 1 Ga 2.85
Pt: 0.7541 0.3265 0.3265  11 Pt 2.75-2.90, 1 Fe 2.78
Pt: 0.7647 0.3228 0.8229  1 Ga 2.67, 1 Fe 2.69, 10 Pt 2.76-2.95
Pt: 0.7647 0.8229 0.3228  1 Ga 2.67, 1 Fe 2.69, 10 Pt 2.76-2.95

Values from the calculation:
formation energy from the elements	-0.125	eV/atom



[4]
VASP calculation (PBE) on a relaxed ScAgSb2 crystal.

a b c (Å): 5.9550 5.9550 5.9550
angles (deg): 138.65 138.65 59.91
With the nearest neighbours (Å) after each atom.
Element x y z (fractional)
Sc: 0.0000 0.0000 0.0000  8 Sb 2.97-3.33, 4 Ag 3.33
Ag: 0.2500 0.7500 0.5000  8 Sb 2.97-3.33, 4 Sc 3.33
Sb: 0.5000 0.5000 0.0000  4 Sc 2.97, 4 Sb 3.33, 4 Ag 3.33
Sb: 0.7500 0.2500 0.5000  4 Ag 2.97, 4 Sb 3.33, 4 Sc 3.33

Values from the calculation:
formation energy without anion corrections	-1.324	eV/f.u.



[5]
VASP calculation (PBE) on a relaxed Tm2Cd2Ag3 crystal.

a b c (Å): 4.5784 5.4392 7.3339
angles (deg): 108.76 90.04 114.86
With the nearest neighbours (Å) after each atom.
Element x y z (fractional)
Tm: 0.1381 0.2751 0.2795  5 Ag 3.00-3.35, 2 Cd 3.27-3.35
Tm: 0.8619 0.7249 0.7205  5 Ag 3.00-3.35, 2 Cd 3.27-3.35
Cd: 0.3801 0.7611 0.0715  4 Ag 2.83-2.96, 1 Cd 2.90
Cd: 0.6199 0.2389 0.9285  4 Ag 2.83-2.96, 1 Cd 2.90
Ag: 0.1594 0.3192 0.6978  3 Cd 2.83-2.96, 2 Ag 2.86, 4 Tm 3.00-3.01
Ag: 0.5000 0.0000 0.5000  4 Ag 2.86, 2 Cd 2.94
Ag: 0.8406 0.6808 0.3022  3 Cd 2.83-2.96, 2 Ag 2.86, 4 Tm 3.00-3.01

Values from the calculation:
formation energy from the elements	-0.240	eV/atom



[6]
VASP calculation (PBE) on a relaxed Zr6In5Ag crystal.

a b c (Å): 7.0287 7.0287 8.8030
angles (deg): 90.00 90.00 143.01
With the nearest neighbours (Å) after each atom.
Element x y z (fractional)
Zr: 0.0000 0.0000 0.2493  6 In 3.09-3.13, 2 Ag 3.14, 4 Zr 3.15
Zr: 0.0000 0.0000 0.7507  6 In 3.09-3.13, 2 Ag 3.14, 4 Zr 3.15
Zr: 0.3332 0.6668 0.2520  1 Ag 3.12, 7 In 3.12-3.16, 4 Zr 3.14-3.15
Zr: 0.3332 0.6668 0.7480  1 Ag 3.12, 7 In 3.12-3.16, 4 Zr 3.14-3.15
Zr: 0.6668 0.3332 0.2520  1 Ag 3.12, 7 In 3.12-3.16, 4 Zr 3.14-3.15
Zr: 0.6668 0.3332 0.7480  1 Ag 3.12, 7 In 3.12-3.16, 4 Zr 3.14-3.15
In: 0.1618 0.8382 0.5000  8 Zr 3.09-3.16, 2 Ag 3.10, 2 In 3.24
In: 0.1669 0.8331 0.0000  8 Zr 3.12-3.15, 4 In 3.14-3.15
In: 0.5000 0.5000 0.0000  8 Zr 3.13-3.14, 4 In 3.15
In: 0.8331 0.1669 0.0000  8 Zr 3.12-3.15, 4 In 3.14-3.15
In: 0.8382 0.1618 0.5000  8 Zr 3.09-3.16, 2 Ag 3.10, 2 In 3.24
Ag: 0.5000 0.5000 0.5000  4 In 3.10, 8 Zr 3.12-3.14

Values from the calculation:
formation energy from the elements	-0.276	eV/atom